Compound: NiCl
Source: the Open Quantum Materials Database
Functional: PBE
Structure: relaxed

a b c (Å): 3.7240 3.7240 5.1973
angles (deg): 90.00 90.00 120.00
Space group P6_3/mmc (No. 194)
One atom of each set of equivalent atoms:
1 Ni 0.0000 0.0000 0.0000 [2 per cell]
2 Cl 0.3333 0.6667 0.2500 [2 per cell]

energy = -3.673 eV per atom
theoretical density = 5.0 g/cm3

Compound: Zr3PbO
Source: the Open Quantum Materials Database
Functional: PBE
Structure: relaxed

a b c (Å): 3.4709 11.9476 9.1261
angles (deg): 90.00 90.00 90.00
Space group Cmcm (No. 63)
One atom of each set of equivalent atoms:
1 Zr 0.0000 0.0343 0.2500 [4 per cell]
2 Zr 0.0000 0.3751 0.0407 [8 per cell]
3 Pb 0.0000 0.2562 0.7500 [4 per cell]
4 O 0.0000 0.0000 0.0000 [4 per cell]

energy = -7.960 eV per atom
theoretical density = 8.7 g/cm3

Compound: MoICl4
Source: the Open Quantum Materials Database
Functional: PBE
Structure: relaxed

a b c (Å): 6.3750 6.9119 9.4725
angles (deg): 107.75 90.95 115.30
Space group P-1 (No. 2)
One atom of each set of equivalent atoms:
1 Mo 0.1149 0.2315 0.2333 [2 per cell]
2 I 0.2690 0.1989 0.9496 [2 per cell]
3 Cl 0.0615 0.8048 0.5628 [2 per cell]
4 Cl 0.1047 0.6128 0.8380 [2 per cell]
5 Cl 0.3032 0.0226 0.2589 [2 per cell]
6 Cl 0.4356 0.5745 0.3420 [2 per cell]

energy = -3.927 eV per atom
offset from the most stable computed form = 21 meV per atom
theoretical density = 3.4 g/cm3

Compound: LaPr2Si4Pd4
Source: the Open Quantum Materials Database
Functional: PBE
Structure: relaxed

a b c (Å): 4.2122 4.2839 24.5918
angles (deg): 90.00 90.00 90.00
Space group Immm (No. 71)
One atom of each set of equivalent atoms:
1 La 0.0000 0.0000 0.0000 [2 per cell]
2 Pr 0.0000 0.5000 0.1472 [4 per cell]
3 Si 0.0000 0.0000 0.4513 [4 per cell]
4 Si 0.0000 0.5000 0.3029 [4 per cell]
5 Pd 0.0000 0.0000 0.2488 [4 per cell]
6 Pd 0.0000 0.5000 0.4023 [4 per cell]

energy = -6.107 eV per atom
theoretical density = 7.2 g/cm3

Compound: TmZn
Source: the Open Quantum Materials Database
Functional: PBE
Structure: relaxed

a b c (Å): 4.0991 4.0991 6.6796
angles (deg): 90.00 90.00 120.00
Space group P6_3/mmc (No. 194)
One atom of each set of equivalent atoms:
1 Tm 0.3333 0.6667 0.2500 [2 per cell]
2 Zn 0.0000 0.0000 0.0000 [2 per cell]

energy = -2.948 eV per atom
theoretical density = 8.0 g/cm3
formation enthalpy at 0 K = -0.08 eV/atom

Compound: GdNpTe
Source: the Open Quantum Materials Database
Functional: PBE
Structure: relaxed

a b c (Å): 7.2201 7.2201 7.2201
angles (deg): 90.00 90.00 90.00
Space group F-43m (No. 216)
One atom of each set of equivalent atoms:
1 Gd 0.0000 0.0000 0.0000 [4 per cell]
2 Np 0.0000 0.0000 0.5000 [4 per cell]
3 Te 0.2500 0.2500 0.2500 [4 per cell]

energy = -6.940 eV per atom
theoretical density = 9.2 g/cm3

Compound: ZrAs
Source: the Open Quantum Materials Database
Functional: PBE
Structure: relaxed

a b c (Å): 5.9078 5.9078 5.2349
angles (deg): 90.00 90.00 120.00
Space group P-6m2 (No. 187)
One atom of each set of equivalent atoms:
1 Zr 0.0000 0.0000 0.0000 [1 per cell]
2 Zr 0.1685 0.3370 0.5000 [3 per cell]
3 As 0.0030 0.5015 0.0000 [3 per cell]
4 As 0.6667 0.3333 0.5000 [1 per cell]

energy = -6.902 eV per atom
theoretical density = 7.0 g/cm3

Compound: ErPa2O4
Source: the Open Quantum Materials Database
Functional: PBE
Structure: relaxed

a b c (Å): 9.8024 9.8024 9.8024
angles (deg): 90.00 90.00 90.00
Space group Fd-3m (No. 227, origin choice 2)
One atom of each set of equivalent atoms:
1 Er 0.1250 0.1250 0.1250 [8 per cell]
2 Pa 0.0000 0.0000 0.5000 [16 per cell]
3 O 0.0006 0.0006 0.2494 [32 per cell]

energy = -8.494 eV per atom
theoretical density = 9.8 g/cm3